1.
Here is Pr2NdReN4 after structural relaxation from Alexandria via LeMat-Bulk. Energies are from PBE.

DOS(E_F)   0.25 states/eV per atom
Raw formation energy   -0.82 eV/atom

Unit cell a=3.5504 b=6.3346 c=12.2133 alpha=90.00 beta=90.00 gamma=106.27
Element x y z (fractional)
1 Nd 0.8796 0.7592 0.2500
2 Nd 0.1204 0.2408 0.7500
3 N 0.4256 0.8513 0.7500
4 N 0.7305 0.4610 0.6383
5 N 0.5744 0.1487 0.2500
6 N 0.0000 0.0000 0.0000
7 N 0.2695 0.5390 0.3617
8 N 0.2695 0.5390 0.1383
9 N 0.7305 0.4610 0.8617
10 N 0.0000 0.0000 0.5000
11 Re 0.1495 0.2991 0.2500
12 Re 0.8505 0.7009 0.7500
13 Pr 0.3677 0.7354 0.5394
14 Pr 0.3677 0.7354 0.9606
15 Pr 0.6323 0.2646 0.4606
16 Pr 0.6323 0.2646 0.0394

2.
Here is CdPt2W after structural relaxation from Alexandria via LeMat-Bulk. Energies are from PBE.

DOS(E_F)   0.36 states/eV per atom
E_tot   -6.3738 eV per atom

Unit cell a=3.3028 b=3.3028 c=6.2812 alpha=90.00 beta=90.00 gamma=90.00
Element x y z (fractional)
1 Pt 0.0000 0.0000 0.0151
2 Pt 0.5000 0.5000 0.2647
3 W 0.0000 0.0000 0.4595
4 Cd 0.5000 0.5000 0.7607